1.
Compound: Pm8AgSn6
Source: Alexandria via LeMat-Bulk
Functional: PBE
Structure: relaxed

Output
Formation enthalpy at 0 K ... -8.4 eV/f.u.
Mass density ... 6.7 Mg/m³
SG ... R-3

Cell and atoms, written as POSCAR:
```
Pm8AgSn6
1.0
-4.3138 -7.6589 3.4317
4.5411 -5.6738 6.0191
-2.1093 -1.0348 8.0127
Sn Pm Ag
6 8 1
Direct
0.3014 0.5484 0.2186
0.4516 0.0684 0.7814
0.9316 0.3014 0.2186
0.6986 0.4516 0.7814
0.5484 0.9316 0.2186
0.0684 0.6986 0.7814
0.6680 0.6680 0.9961
0.1839 0.8971 0.2837
0.8971 0.6352 0.2837
0.3320 0.3320 0.0039
0.6352 0.1839 0.2837
0.8161 0.1029 0.7163
0.3648 0.8161 0.7163
0.1029 0.3648 0.7163
0.0000 0.0000 0.0000
```

2.
Compound: NdIn4Ni
Source: Alexandria via LeMat-Bulk
Functional: PBE
Structure: relaxed

Output
Formation enthalpy at 0 K ... -2.2 eV/f.u.
Mass density ... 8.0 Mg/m³
SG ... P2_1/m

Cell and atoms, written as POSCAR:
```
NdIn4Ni
1.0
4.4743 0.0000 -0.0060
0.0000 7.3271 0.0000
-2.2485 0.0000 8.4346
In Nd Ni
8 2 2
Direct
0.5000 0.5000 0.0000
0.5000 0.0000 0.0000
0.9252 0.7500 0.8516
0.6884 0.4512 0.3765
0.6884 0.0488 0.3765
0.0748 0.2500 0.1484
0.3116 0.5488 0.6235
0.3116 0.9512 0.6235
0.1183 0.7500 0.2381
0.8817 0.2500 0.7619
0.7722 0.7500 0.5460
0.2278 0.2500 0.4540
```